1.
Compound: Al3P5
Source: the Alexandria database
Functional: PBE-GGA
Structure: relaxed

Cell and atoms, written as POSCAR:
```
Al3P5
1.0
6.499 0.232 -0.304
-5.557 6.679 -0.440
-0.841 -4.355 8.886
P Al
10 6
Direct
0.238 0.727 0.362
0.793 0.305 0.518
0.647 0.917 0.880
0.117 0.733 0.990
0.967 0.990 0.264
0.293 0.373 0.853
0.527 0.062 0.044
0.999 0.526 0.100
0.286 0.334 0.295
0.089 0.042 0.651
0.767 0.751 0.986
0.116 0.302 0.041
0.291 0.046 0.467
0.763 0.998 0.454
0.160 0.548 0.778
0.941 0.346 0.317
```

formation energy from the elements	-0.192	eV per atom
E	-4.98	eV/atom

2.
Compound: AlP
Source: the Alexandria database
Functional: PBE-GGA
Structure: relaxed

Cell and atoms, written as POSCAR:
```
AlP
1.0
-6.395 -8.554 2.285
1.807 -2.052 -2.623
4.397 -2.050 4.633
Al P
6 6
Direct
0.791 0.342 0.655
0.709 0.658 0.155
0.209 0.342 0.655
0.291 0.658 0.155
0.000 0.063 0.424
0.500 0.937 0.924
0.797 0.157 0.308
0.703 0.843 0.808
0.203 0.157 0.308
0.297 0.843 0.808
0.000 0.557 0.652
0.500 0.443 0.152
```

formation energy from the elements	-0.357	eV per atom
E	-4.93	eV/atom

3.
Compound: Al2P
Source: the Alexandria database
Functional: PBE-GGA
Structure: relaxed

Cell and atoms, written as POSCAR:
```
Al2P
1.0
-5.601 1.543 -1.301
-4.928 -1.552 -2.957
-3.226 -2.711 3.757
Al P
4 2
Direct
0.020 0.020 0.008
0.679 0.679 0.735
0.240 0.240 0.332
0.396 0.396 0.645
0.022 0.022 0.428
0.809 0.809 0.019
```

formation energy from the elements	-0.113	eV per atom
E	-4.41	eV/atom

4.
Compound: Al2P
Source: the Alexandria database
Functional: PBE-GGA
Structure: relaxed

Cell and atoms, written as POSCAR:
```
Al2P
1.0
4.466 0.000 0.000
-2.233 3.867 0.000
0.000 0.000 2.770
P Al
1 2
Direct
0.000 0.000 0.000
0.667 0.333 0.218
0.333 0.667 0.782
```

formation energy from the elements	0.121	eV per atom
E	-4.18	eV/atom

5.
Compound: Al3P
Source: the Alexandria database
Functional: PBE-GGA
Structure: relaxed

Cell and atoms, written as POSCAR:
```
Al3P
1.0
2.842 -4.922 0.000
2.842 4.922 0.000
0.000 0.000 4.622
Al P
6 2
Direct
0.831 0.663 0.250
0.337 0.169 0.250
0.831 0.169 0.250
0.169 0.337 0.750
0.663 0.831 0.750
0.169 0.831 0.750
0.333 0.667 0.250
0.667 0.333 0.750
```

formation energy from the elements	0.119	eV per atom
E	-4.04	eV/atom

6.
Compound: AlP
Source: the Alexandria database
Functional: PBE-GGA
Structure: relaxed

Cell and atoms, written as POSCAR:
```
AlP
1.0
3.651 0.000 0.000
0.000 7.121 0.000
0.000 0.000 11.647
P Al
8 8
Direct
0.000 0.000 0.495
0.250 0.250 0.745
0.000 0.500 0.995
0.250 0.750 0.245
0.500 0.000 0.995
0.750 0.250 0.245
0.500 0.500 0.495
0.750 0.750 0.745
0.000 0.000 0.863
0.250 0.250 0.113
0.000 0.500 0.363
0.250 0.750 0.613
0.500 0.000 0.363
0.750 0.250 0.613
0.500 0.500 0.863
0.750 0.750 0.113
```

formation energy from the elements	-0.375	eV per atom
E	-4.95	eV/atom

7.
Compound: AlP
Source: the Alexandria database
Functional: PBE-GGA
Structure: relaxed

Cell and atoms, written as POSCAR:
```
AlP
1.0
2.211 -3.829 0.000
2.211 3.829 0.000
0.000 0.000 7.869
Al P
4 4
Direct
0.333 0.667 0.080
0.667 0.333 0.580
0.667 0.333 0.920
0.333 0.667 0.420
0.000 0.000 0.250
0.000 0.000 0.750
0.333 0.667 0.750
0.667 0.333 0.250
```

formation energy from the elements	0.364	eV per atom
E	-4.21	eV/atom

8.
Compound: AlP5
Source: the Alexandria database
Functional: PBE-GGA
Structure: relaxed

Cell and atoms, written as POSCAR:
```
AlP5
1.0
-0.915 4.455 1.434
-3.514 -2.714 -1.739
-0.949 -1.632 4.465
Al P
1 5
Direct
0.000 0.000 0.500
0.728 0.000 0.000
0.272 0.272 0.000
0.000 0.728 0.000
0.667 0.333 0.500
0.333 0.667 0.500
```

formation energy from the elements	0.521	eV per atom
E	-4.61	eV/atom

9.
Compound: Al2P
Source: the Alexandria database
Functional: PBE-GGA
Structure: relaxed

Cell and atoms, written as POSCAR:
```
Al2P
1.0
2.285 -3.958 0.000
2.285 3.958 0.000
0.000 0.000 5.285
Al P
4 2
Direct
0.000 0.000 0.000
0.000 0.000 0.500
0.333 0.667 0.250
0.667 0.333 0.750
0.667 0.333 0.250
0.333 0.667 0.750
```

formation energy from the elements	0.057	eV per atom
E	-4.24	eV/atom

10.
Compound: Al4P5
Source: the Alexandria database
Functional: PBE-GGA
Structure: relaxed

Cell and atoms, written as POSCAR:
```
Al4P5
1.0
-4.792 4.792 1.555
4.792 -4.792 1.555
4.792 4.792 -1.555
Al P
4 5
Direct
0.307 0.000 0.307
0.693 0.000 0.693
0.000 0.693 0.693
0.000 0.307 0.307
0.000 0.000 0.000
0.316 0.684 0.000
0.684 0.316 0.000
0.684 0.684 0.369
0.316 0.316 0.631
```

formation energy from the elements	0.210	eV per atom
E	-4.46	eV/atom

11.
Compound: AlP
Source: the Alexandria database
Functional: PBE-GGA
Structure: relaxed

Cell and atoms, written as POSCAR:
```
AlP
1.0
-0.256 3.180 2.302
-2.414 -3.050 0.584
4.481 -2.728 4.268
P Al
2 2
Direct
0.333 0.667 0.264
0.667 0.333 0.736
0.333 0.667 0.639
0.667 0.333 0.361
```

formation energy from the elements	-0.417	eV per atom
E	-4.99	eV/atom

12.
Compound: Al2P
Source: the Alexandria database
Functional: PBE-GGA
Structure: relaxed

Cell and atoms, written as POSCAR:
```
Al2P
1.0
6.248 7.171 -3.661
2.811 9.600 -1.947
-3.463 -8.291 4.808
Al P
4 2
Direct
0.568 0.568 0.000
0.182 0.682 0.500
0.432 0.432 0.000
0.318 0.818 0.500
0.000 0.000 0.000
0.750 0.250 0.500
```

formation energy from the elements	0.030	eV per atom
E	-4.27	eV/atom

13.
Compound: Al3P4
Source: the Alexandria database
Functional: PBE-GGA
Structure: relaxed

Cell and atoms, written as POSCAR:
```
Al3P4
1.0
-6.655 -4.786 6.744
-7.405 -0.358 7.598
5.392 2.602 -8.765
Al P
3 4
Direct
0.000 0.000 0.000
0.708 0.708 0.000
0.292 0.292 0.000
0.871 0.871 0.000
0.129 0.129 0.000
0.582 0.582 0.000
0.418 0.418 0.000
```

formation energy from the elements	0.248	eV per atom
E	-4.45	eV/atom

14.
Compound: Al2P
Source: the Alexandria database
Functional: PBE-GGA
Structure: relaxed

Cell and atoms, written as POSCAR:
```
Al2P
1.0
4.546 0.000 0.000
-2.273 3.937 0.000
0.000 0.000 2.799
P Al
1 2
Direct
0.000 0.000 0.000
0.333 0.667 0.500
0.667 0.333 0.500
```

formation energy from the elements	0.368	eV per atom
E	-3.93	eV/atom

15.
Compound: AlP3
Source: the Alexandria database
Functional: PBE-GGA
Structure: relaxed

Cell and atoms, written as POSCAR:
```
AlP3
1.0
5.501 0.000 0.000
-2.750 4.764 0.000
0.000 0.000 9.366
P Al
12 4
Direct
0.500 0.000 0.000
0.500 0.000 0.500
0.000 0.500 0.000
0.500 0.500 0.000
0.500 0.500 0.500
0.000 0.500 0.500
0.856 0.713 0.250
0.144 0.287 0.750
0.287 0.144 0.250
0.856 0.144 0.250
0.144 0.856 0.750
0.713 0.856 0.750
0.000 0.000 0.000
0.000 0.000 0.500
0.333 0.667 0.250
0.667 0.333 0.750
```

formation energy from the elements	0.482	eV per atom
E	-4.51	eV/atom

16.
Compound: Al3P
Source: the Alexandria database
Functional: PBE-GGA
Structure: relaxed

Cell and atoms, written as POSCAR:
```
Al3P
1.0
-2.632 -2.598 7.931
-5.915 1.592 6.250
2.534 -1.333 -8.269
Al P
6 2
Direct
0.000 0.500 0.500
0.500 0.000 0.500
0.750 0.250 0.500
0.250 0.750 0.500
0.871 0.871 0.000
0.129 0.129 0.000
0.611 0.611 0.000
0.389 0.389 0.000
```

formation energy from the elements	0.094	eV per atom
E	-4.07	eV/atom

17.
Compound: AlP
Source: the Alexandria database
Functional: PBE-GGA
Structure: relaxed

Cell and atoms, written as POSCAR:
```
AlP
1.0
3.103 0.000 0.000
0.000 3.103 0.000
0.000 0.000 6.366
P Al
2 2
Direct
0.250 0.250 0.602
0.750 0.750 0.398
0.250 0.250 0.149
0.750 0.750 0.851
```

formation energy from the elements	0.240	eV per atom
E	-4.34	eV/atom

18.
Compound: AlP
Source: the Alexandria database
Functional: PBE-GGA
Structure: relaxed

Cell and atoms, written as POSCAR:
```
AlP
1.0
-3.299 -9.247 -3.826
-0.659 -3.819 9.799
-3.694 1.224 0.228
Al P
8 8
Direct
0.782 0.624 0.500
0.218 0.376 0.500
0.376 0.782 0.500
0.624 0.218 0.500
0.886 0.423 0.000
0.114 0.577 0.000
0.577 0.886 0.000
0.423 0.114 0.000
0.761 0.396 0.500
0.239 0.604 0.500
0.604 0.761 0.500
0.396 0.239 0.500
0.905 0.660 0.000
0.095 0.340 0.000
0.340 0.905 0.000
0.660 0.095 0.000
```

formation energy from the elements	-0.424	eV per atom
E	-5.00	eV/atom

19.
Compound: Al2P
Source: the Alexandria database
Functional: PBE-GGA
Structure: relaxed

Cell and atoms, written as POSCAR:
```
Al2P
1.0
3.494 -6.051 0.000
3.494 6.051 0.000
0.000 0.000 3.436
Al P
6 3
Direct
0.268 0.000 0.000
0.000 0.268 0.000
0.732 0.732 0.000
0.594 0.000 0.500
0.000 0.594 0.500
0.406 0.406 0.500
0.333 0.667 0.000
0.667 0.333 0.000
0.000 0.000 0.500
```

formation energy from the elements	0.060	eV per atom
E	-4.24	eV/atom

20.
Compound: Al8P
Source: the Alexandria database
Functional: PBE-GGA
Structure: relaxed

Cell and atoms, written as POSCAR:
```
Al8P
1.0
6.032 1.903 -0.626
-4.240 -2.191 4.198
0.756 -5.514 -3.070
Al P
8 1
Direct
0.667 0.333 0.000
0.333 0.667 0.000
0.000 0.669 0.669
0.333 0.333 0.666
0.669 0.000 0.669
0.667 0.667 0.334
0.000 0.331 0.331
0.331 0.000 0.331
0.000 0.000 0.000
```

formation energy from the elements	0.047	eV per atom
E	-3.88	eV/atom